No. 1
## SrLiTiPt2 (PBE)

Data for crystalline SrLiTiPt2 at its relaxed geometry.

Formation enthalpy at 0 K in meV/atom: -696
D(E_F) in states/eV per cell: 5.403
Crystal system: tetragonal
Spin magnetization in μB/f.u.: 0.0

The structure in POSCAR format:
```
SrLiTiPt2
1.0
4.2079 0.0000 0.0000
0.0000 4.2079 0.0000
0.0000 0.0000 11.4413
Sr Li Ti Pt
2 2 2 4
Cartesian
0.0000 0.0000 0.0000 Sr
2.1040 2.1040 5.7206 Sr
0.0000 2.1040 2.8603 Li
2.1040 0.0000 8.5810 Li
0.0000 2.1040 8.5810 Ti
2.1040 0.0000 2.8603 Ti
0.0000 0.0000 4.3534 Pt
0.0000 0.0000 7.0879 Pt
2.1040 2.1040 1.3673 Pt
2.1040 2.1040 10.0740 Pt
```

---

No. 2
## MgTeSeBr2 (PBE)

Data for crystalline MgTeSeBr2 at its relaxed geometry.

D(E_F) in states/eV per cell: 2.231
Crystal system: tetragonal
Spin magnetization in μB/f.u.: 0.9
Excess energy over the best structure of this formula in the dataset in meV per atom: 0
Raw formation energy in eV per atom: -0.284

The structure in POSCAR format:
```
MgTeSeBr2
1.0
4.9659 0.0000 0.0000
0.0000 4.9659 0.0000
0.0000 0.0000 5.7348
Mg Te Se Br
1 1 1 2
Cartesian
0.0000 0.0000 0.0000 Mg
2.4829 2.4829 2.8674 Te
0.0000 0.0000 2.8674 Se
0.0000 2.4829 0.0000 Br
2.4829 0.0000 0.0000 Br
```

---

No. 3
## CaCd2Re (PBE)

Data for crystalline CaCd2Re at its relaxed geometry.

Formation enthalpy at 0 K in meV/atom: 432
D(E_F) in states/eV per cell: 3.439
Crystal system: tetragonal
Spin magnetization in μB/f.u.: 0.0
Excess energy over the best structure of this formula in the dataset in meV per atom: 22

The structure in POSCAR format:
```
CaCd2Re
1.0
2.9357 0.0000 0.0000
0.0000 2.9357 0.0000
0.0000 0.0000 9.5657
Ca Cd Re
1 2 1
Cartesian
0.0000 0.0000 0.0000 Ca
0.0000 0.0000 5.0791 Cd
1.4678 1.4678 2.6422 Cd
1.4678 1.4678 7.2270 Re
```

---

No. 4
## RbNaPm (PBE)

Data for crystalline RbNaPm at its relaxed geometry.

Formation enthalpy at 0 K in meV/atom: 343
D(E_F) in states/eV per cell: 11.079
Crystal system: orthorhombic
Spin magnetization in μB/f.u.: 0.0

The structure in POSCAR format:
```
RbNaPm
1.0
21.0940 0.0000 0.0000
0.0000 3.8234 0.0000
0.0000 0.0000 6.6065
Rb Na Pm
4 4 4
Cartesian
3.7505 0.0000 0.0000 Rb
3.7505 1.9117 3.3032 Rb
17.3435 0.0000 0.0000 Rb
17.3435 1.9117 3.3032 Rb
0.0000 0.0000 4.4741 Na
0.0000 1.9117 1.1708 Na
10.5470 0.0000 6.5199 Na
10.5470 1.9117 3.2167 Na
7.4604 0.0000 4.3173 Pm
7.4604 1.9117 1.0141 Pm
13.6336 0.0000 4.3173 Pm
13.6336 1.9117 1.0141 Pm
```

---

No. 5
## Al2FeRe (PBE)

Data for crystalline Al2FeRe at its relaxed geometry.

Formation enthalpy at 0 K in meV/atom: -99
D(E_F) in states/eV per cell: 6.839
Crystal system: trigonal
Spin magnetization in μB/f.u.: 1.2
Excess energy over the best structure of this formula in the dataset in meV per atom: 79

The structure in POSCAR format:
```
Al2FeRe
1.0
2.7835 0.0000 0.0000
-1.3917 2.4105 0.0000
0.0000 0.0000 25.3284
Al Fe Re
6 3 3
Cartesian
0.0000 0.0000 0.0000 Al
0.0000 0.0000 6.1109 Al
0.0000 1.6070 16.8856 Al
0.0000 1.6070 22.9966 Al
1.3917 0.8035 8.4428 Al
1.3917 0.8035 14.5537 Al
0.0000 0.0000 18.8505 Fe
0.0000 1.6070 10.4077 Fe
1.3917 0.8035 1.9649 Fe
0.0000 0.0000 12.3602 Re
0.0000 1.6070 3.9173 Re
1.3917 0.8035 20.8030 Re
```

---

No. 6
## Ti2PdW (PBE)

Data for crystalline Ti2PdW at its relaxed geometry.

Formation enthalpy at 0 K in meV/atom: -362
D(E_F) in states/eV per cell: 2.492
Crystal system: tetragonal
Spin magnetization in μB/f.u.: 0.0

The structure in POSCAR format:
```
Ti2PdW
1.0
3.1786 0.0000 0.0000
0.0000 3.1786 0.0000
0.0000 0.0000 6.3098
Ti Pd W
2 1 1
Cartesian
0.0000 0.0000 1.5097 Ti
0.0000 0.0000 4.8001 Ti
1.5893 1.5893 3.1549 Pd
1.5893 1.5893 0.0000 W
```

---

Which of these has the highest D(E_F)?
RbNaPm

---

Look up the D(E_F) of the fourth one.
11.079 states/eV per cell

---

Which value of spin magnetization does entry 5 give?
1.2 μB/f.u.